Entry from Alexandria via LeMat-Bulk: a crystal of Mg2CoSb2 relaxed with PBEsol (SCAN).

Output
**Relative energy among the computed polymorphs**: 39.2 kJ per mole of atoms
**E_form (uncorrected)**: 0.447 eV per atom
**Magnetic moment**: 2.1 μB/cell
**DOS at the Fermi energy**: 0.41 states/eV per atom

Lattice parameters (Å, degrees): 7.907 7.907 7.907 149.91 149.91 43.07
Element x y z (fractional)
Mg: 0.093 0.093 0.000
Mg: 0.907 0.907 0.000
Co: 0.500 0.500 0.000
Sb: 0.250 0.750 0.500
Sb: 0.750 0.250 0.500

Entry from Alexandria via LeMat-Bulk: a crystal of MgCoSb2 relaxed with PBEsol (SCAN).

Output
**E_form (uncorrected)**: 0.214 eV per atom
**Magnetic moment**: 1.5 μB/cell
**DOS at the Fermi energy**: 0.52 states/eV per atom

Lattice parameters (Å, degrees): 5.108 5.108 5.108 135.07 118.36 79.45
Element x y z (fractional)
Mg: 0.000 0.000 0.000
Co: 0.500 0.500 0.000
Sb: 0.287 0.787 0.500
Sb: 0.713 0.213 0.500

Entry from Alexandria via LeMat-Bulk: a crystal of Mg2CoSb2 relaxed with PBEsol (SCAN).

Output
**Relative energy among the computed polymorphs**: 0.0 kJ per mole of atoms
**E_form (uncorrected)**: 0.041 eV per atom
**Magnetic moment**: 0.0 μB/cell
**DOS at the Fermi energy**: 0.55 states/eV per atom

Lattice parameters (Å, degrees): 6.523 6.523 4.984 90.00 90.00 90.00
Element x y z (fractional)
Mg: 0.172 0.328 0.000
Mg: 0.328 0.828 0.000
Mg: 0.672 0.172 0.000
Mg: 0.828 0.672 0.000
Co: 0.000 0.000 0.500
Co: 0.500 0.500 0.500
Sb: 0.156 0.656 0.500
Sb: 0.344 0.156 0.500
Sb: 0.656 0.844 0.500
Sb: 0.844 0.344 0.500

Entry from Alexandria via LeMat-Bulk: a crystal of MgCoSb2 relaxed with PBEsol (SCAN).

Output
**E_form (uncorrected)**: 0.217 eV per atom
**Magnetic moment**: 1.7 μB/cell
**DOS at the Fermi energy**: 0.48 states/eV per atom

Lattice parameters (Å, degrees): 3.826 4.313 4.647 90.00 90.00 90.00
Element x y z (fractional)
Mg: 0.000 0.000 0.000
Co: 0.000 0.500 0.500
Sb: 0.500 0.000 0.500
Sb: 0.500 0.500 0.000

Entry from Alexandria via LeMat-Bulk: a crystal of Mg2CoSb relaxed with PBEsol (SCAN).

Output
**E_form (uncorrected)**: -0.001 eV per atom
**Magnetic moment**: 1.3 μB/cell
**DOS at the Fermi energy**: 0.45 states/eV per atom

Lattice parameters (Å, degrees): 3.257 3.721 5.867 90.00 90.00 90.00
Element x y z (fractional)
Mg: 0.000 0.000 0.221
Mg: 0.000 0.000 0.779
Co: 0.500 0.500 0.000
Sb: 0.500 0.500 0.500

Entry from Alexandria via LeMat-Bulk: a crystal of MgCo2SbSe relaxed with PBEsol (SCAN).

Output
**E_form (uncorrected)**: 1.253 eV per atom
**Magnetic moment**: 3.8 μB/cell
**DOS at the Fermi energy**: 0.71 states/eV per atom

Lattice parameters (Å, degrees): 4.496 4.496 5.128 90.00 90.00 90.00
Element x y z (fractional)
Mg: 0.000 0.000 0.000
Co: 0.000 0.500 0.000
Co: 0.500 0.000 0.000
Sb: 0.000 0.000 0.500
Se: 0.500 0.500 0.500

Entry from Alexandria via LeMat-Bulk: a crystal of Mg2ScCo relaxed with PBEsol (SCAN).

Output
**Energy of formation**: 0.191 eV per atom
**Magnetic moment**: 1.8 μB/cell
**DOS at the Fermi energy**: 0.45 states/eV per atom

Lattice parameters (Å, degrees): 9.542 9.542 9.542 18.11 18.11 18.11
Element x y z (fractional)
Mg: 0.236 0.236 0.236
Mg: 0.764 0.764 0.764
Sc: 0.000 0.000 0.000
Co: 0.500 0.500 0.500

Entry from Alexandria via LeMat-Bulk: a crystal of Mg2ScCo relaxed with PBEsol (SCAN).

Output
**Energy of formation**: 0.148 eV per atom
**Magnetic moment**: 0.0 μB/cell
**DOS at the Fermi energy**: 0.36 states/eV per atom

Lattice parameters (Å, degrees): 5.276 5.276 5.276 136.13 136.13 63.78
Element x y z (fractional)
Mg: 0.250 0.750 0.500
Mg: 0.750 0.250 0.500
Sc: 0.000 0.000 0.000
Co: 0.500 0.500 0.000

Entry from Alexandria via LeMat-Bulk: a crystal of MgScCo relaxed with PBEsol (SCAN).

Output
**Energy of formation**: 0.777 eV per atom
**Magnetic moment**: 0.7 μB/cell
**DOS at the Fermi energy**: 1.17 states/eV per atom

Lattice parameters (Å, degrees): 4.311 4.311 4.311 60.00 60.00 60.00
Element x y z (fractional)
Mg: 0.000 0.000 0.000
Sc: 0.250 0.250 0.250
Co: 0.750 0.750 0.750

Entry from Alexandria via LeMat-Bulk: a crystal of Mg2ScCo relaxed with PBEsol (SCAN).

Output
**Energy of formation**: -0.119 eV per atom
**Magnetic moment**: 0.5 μB/cell
**DOS at the Fermi energy**: 0.39 states/eV per atom

Lattice parameters (Å, degrees): 3.087 3.087 7.667 90.00 90.00 90.00
Element x y z (fractional)
Mg: 0.000 0.000 0.000
Mg: 0.500 0.500 0.297
Sc: 0.000 0.000 0.617
Co: 0.500 0.500 0.796

Entry from Alexandria via LeMat-Bulk: a crystal of Mg2ScTlCo relaxed with PBEsol (SCAN).

Output
**Energy of formation**: 0.951 eV per atom
**Magnetic moment**: 0.0 μB/cell
**DOS at the Fermi energy**: 0.64 states/eV per atom

Lattice parameters (Å, degrees): 5.644 5.644 4.166 90.00 90.00 90.00
Element x y z (fractional)
Mg: 0.000 0.500 0.000
Mg: 0.500 0.000 0.000
Sc: 0.000 0.000 0.000
Tl: 0.500 0.500 0.500
Co: 0.000 0.000 0.500

Entry from Alexandria via LeMat-Bulk: a crystal of MgCo2Se relaxed with PBEsol (SCAN).

Output
**Relative energy among the computed polymorphs**: 0.0 kJ per mole of atoms
**E_form (uncorrected)**: 0.267 eV per atom
**Magnetic moment**: 3.1 μB/cell
**DOS at the Fermi energy**: 0.75 states/eV per atom

Lattice parameters (Å, degrees): 4.651 4.651 4.651 132.89 132.89 68.83
Element x y z (fractional)
Mg: 0.000 0.000 0.000
Co: 0.250 0.750 0.500
Co: 0.750 0.250 0.500
Se: 0.500 0.500 0.000

Question: DOS at the Fermi energy of number 9 (MgScCo)?
Answer: 1.17 states/eV per atom